No. 1
The following is a PBE calculation of a relaxed LiGe3H crystal, from the Alexandria database.

a b c (Å): 4.525 4.525 4.525
angles (deg): 90.00 90.00 90.00
Positions (direct):
Li 0.000 0.000 0.000
Ge 0.000 0.000 0.500
Ge 0.000 0.500 0.000
Ge 0.500 0.000 0.000
H 0.500 0.500 0.500

Values from the calculation:
Distance to the lowest polymorph of the same formula: 0.649 eV/atom
Space-group type: Pm-3m (221)

***

No. 2
The following is a PBE calculation of a relaxed MgScMo2 crystal, from the Alexandria database.

a b c (Å): 3.093 3.093 27.872
angles (deg): 90.00 90.00 120.00
Positions (direct):
Mg 0.000 0.000 0.000
Mg 0.333 0.667 0.667
Mg 0.667 0.333 0.333
Sc 0.000 0.000 0.767
Sc 0.333 0.667 0.434
Sc 0.667 0.333 0.101
Mo 0.000 0.000 0.247
Mo 0.000 0.000 0.514
Mo 0.333 0.667 0.181
Mo 0.333 0.667 0.914
Mo 0.667 0.333 0.580
Mo 0.667 0.333 0.848

Values from the calculation:
Energy relative to the elements: 228 meV/atom
Space-group type: R3m (160)

***

No. 3
The following is a PBE calculation of a relaxed NdDy2V crystal, from the Alexandria database.

a b c (Å): 3.394 3.394 34.652
angles (deg): 90.00 90.00 120.00
Positions (direct):
Nd 0.000 0.000 0.000
Nd 0.333 0.667 0.667
Nd 0.667 0.333 0.333
Dy 0.000 0.000 0.419
Dy 0.000 0.000 0.581
Dy 0.333 0.667 0.086
Dy 0.333 0.667 0.247
Dy 0.667 0.333 0.753
Dy 0.667 0.333 0.914
V 0.000 0.000 0.500
V 0.333 0.667 0.167
V 0.667 0.333 0.833

Values from the calculation:
Energy relative to the elements: 618 meV/atom
Space-group type: R-3m (166)

***

No. 4
The following is a PBE calculation of a relaxed La7Nd4Sm crystal, from the Alexandria database.

a b c (Å): 8.912 8.912 9.551
angles (deg): 114.78 114.78 40.53
Positions (direct):
La 0.000 0.000 0.000
La 0.292 0.292 0.126
La 0.293 0.293 0.783
La 0.419 0.419 0.566
La 0.581 0.581 0.434
La 0.707 0.707 0.217
La 0.708 0.708 0.874
Nd 0.074 0.074 0.701
Nd 0.172 0.172 0.396
Nd 0.828 0.828 0.604
Nd 0.926 0.926 0.299
Sm 0.500 0.500 0.000

Values from the calculation:
Distance to the lowest polymorph of the same formula: 0.172 eV/atom
Energy relative to the elements: 185 meV/atom
Space-group type: C2/m (12)

***

No. 5
The following is a PBE calculation of a relaxed MgTa2Ni crystal, from the Alexandria database.

a b c (Å): 2.971 3.504 6.493
angles (deg): 90.00 90.13 90.00
Positions (direct):
Mg 0.000 0.000 0.000
Ta 0.499 0.500 0.704
Ta 0.998 0.000 0.449
Ni 0.499 0.500 0.233

Values from the calculation:
Energy relative to the elements: 115 meV/atom
Space-group type: Pm (6)

***

No. 6
The following is a PBE calculation of a relaxed Rb3Cd5Au3 crystal, from the Alexandria database.

a b c (Å): 8.583 8.583 6.585
angles (deg): 90.00 90.00 120.00
Positions (direct):
Rb 0.000 0.661 0.000
Rb 0.339 0.339 0.000
Rb 0.661 0.000 0.000
Cd 0.000 0.302 0.500
Cd 0.302 0.000 0.500
Cd 0.333 0.667 0.500
Cd 0.667 0.333 0.500
Cd 0.698 0.698 0.500
Au 0.000 0.655 0.500
Au 0.345 0.345 0.500
Au 0.655 0.000 0.500

Values from the calculation:
Energy relative to the elements: -156 meV/atom
Space-group type: P-62m (189)

***

No. 7
The following is a PBE calculation of a relaxed ZnRe2Se crystal, from the Alexandria database.

a b c (Å): 3.675 4.469 4.613
angles (deg): 90.00 101.17 90.00
Positions (direct):
Zn 0.000 0.000 0.000
Re 0.321 0.500 0.180
Re 0.679 0.500 0.820
Se 0.500 0.000 0.500

Values from the calculation:
Distance to the lowest polymorph of the same formula: 0.373 eV/atom
Formation energy without anion corrections: 0.5694 eV/atom
Space-group type: P2/m (10)

***

No. 8
The following is a PBE calculation of a relaxed TcNi2P crystal, from the Alexandria database.

a b c (Å): 2.681 2.681 23.390
angles (deg): 90.00 90.00 120.00
Positions (direct):
Tc 0.000 0.000 0.000
Tc 0.333 0.667 0.667
Tc 0.667 0.333 0.333
Ni 0.000 0.000 0.241
Ni 0.000 0.000 0.759
Ni 0.333 0.667 0.426
Ni 0.333 0.667 0.907
Ni 0.667 0.333 0.093
Ni 0.667 0.333 0.574
P 0.000 0.000 0.500
P 0.333 0.667 0.167
P 0.667 0.333 0.833

Values from the calculation:
Energy relative to the elements: -25 meV/atom
Space-group type: R-3m (166)

***

| no. | N(E_F) (states/eV/cell) |
| --- | --- |
| 1 | 1.836 |
| 2 | 10.732 |
| 3 | 16.946 |
| 4 | 20.492 |
| 5 | 3.126 |
| 6 | 5.285 |
| 7 | 1.846 |
| 8 | 10.942 |